Material: Mg7CdPb4
Method: DFT, PBE
State: optimized geometry

a b c (Å): 5.130 5.130 13.247
angles (deg): 90.00 90.00 120.00
Sites, in units of the cell vectors:
Mg1 0.000 0.000 0.000
Mg2 0.000 0.000 0.255
Mg3 0.000 0.000 0.745
Mg4 0.333 0.667 0.169
Mg5 0.333 0.667 0.419
Mg6 0.667 0.333 0.581
Mg7 0.667 0.333 0.831
Cd1 0.000 0.000 0.500
Pb1 0.333 0.667 0.663
Pb2 0.333 0.667 0.917
Pb3 0.667 0.333 0.083
Pb4 0.667 0.333 0.337

Summary:
Its total energy is -2.262 eV per atom. The formation energy comes out at -0.2 eV/f.u. The crystal system is trigonal. The density of states at the Fermi level comes out at 3.3 states/eV/cell. The relative energy among the computed polymorphs is 0 meV/atom.

---

Material: Mg2CdPb
Method: DFT, PBE
State: optimized geometry

a b c (Å): 5.136 5.136 5.920
angles (deg): 101.51 101.51 40.12
Sites, in units of the cell vectors:
Mg1 0.246 0.246 0.228
Mg2 0.754 0.754 0.772
Cd1 0.500 0.500 0.000
Pb1 0.000 0.000 0.500

Summary:
Its total energy is -2.006 eV per atom. The formation energy comes out at -0.2 eV/f.u. The crystal system is monoclinic. The density of states at the Fermi level comes out at 1.2 states/eV/cell.

---

Material: MgCd3Pb12
Method: DFT, PBE
State: optimized geometry

a b c (Å): 4.857 4.857 20.109
angles (deg): 90.00 90.00 90.00
Sites, in units of the cell vectors:
Mg1 0.000 0.000 0.000
Cd1 0.000 0.000 0.251
Cd2 0.000 0.000 0.500
Cd3 0.000 0.000 0.749
Pb1 0.000 0.500 0.123
Pb2 0.000 0.500 0.375
Pb3 0.000 0.500 0.625
Pb4 0.000 0.500 0.877
Pb5 0.500 0.000 0.123
Pb6 0.500 0.000 0.375
Pb7 0.500 0.000 0.625
Pb8 0.500 0.000 0.877
Pb9 0.500 0.500 0.000
Pb10 0.500 0.500 0.249
Pb11 0.500 0.500 0.500
Pb12 0.500 0.500 0.751

Summary:
Its total energy is -3.026 eV per atom. The formation energy comes out at 0.4 eV/f.u. The crystal system is tetragonal. The density of states at the Fermi level comes out at 8.0 states/eV/cell.